(1)
This record from the Alexandria database describes crystalline Rb2SrCuBr6 at its relaxed geometry. The functional is GGA-PBE.

```
data_Rb2SrCuBr6
_chemical_formula_sum 'Rb4 Sr2 Cu2 Br12'
_space_group_name_H-M_alt 'I 4/m m m'
_space_group_IT_number 139
_space_group_name_Hall '-I 4 2'
_cell_length_a 7.993
_cell_length_b 7.993
_cell_length_c 11.022
_cell_angle_alpha 90.00
_cell_angle_beta 90.00
_cell_angle_gamma 90.00
loop_
_atom_site_label
_atom_site_type_symbol
_atom_site_fract_x
_atom_site_fract_y
_atom_site_fract_z
Rb1 Rb 0.000 0.500 0.250
Sr1 Sr 0.000 0.000 0.000
Cu1 Cu 0.000 0.000 0.500
Br1 Br 0.000 0.000 0.272
Br2 Br 0.236 0.236 0.500
```

Computed properties:
Final energy   -31.2 eV/f.u.
Uncorrected formation energy   -13.5 eV per formula unit
Energy above the most stable polymorph in this dataset   7 meV/atom
Theoretical density   3.781 Mg/m³
Total magnetic moment   1.1 μB per formula unit



(2)
This record from the Alexandria database describes crystalline CrCoPd2 at its relaxed geometry. The functional is GGA-PBE.

```
data_CrCoPd2
_chemical_formula_sum 'Cr4 Co4 Pd8'
_space_group_name_H-M_alt 'F m -3 m'
_space_group_IT_number 225
_space_group_name_Hall '-F 4 2 3'
_cell_length_a 5.981
_cell_length_b 5.981
_cell_length_c 5.981
_cell_angle_alpha 90.00
_cell_angle_beta 90.00
_cell_angle_gamma 90.00
loop_
_atom_site_label
_atom_site_type_symbol
_atom_site_fract_x
_atom_site_fract_y
_atom_site_fract_z
Cr1 Cr 0.000 0.000 0.000
Co1 Co 0.000 0.000 0.500
Pd1 Pd 0.250 0.250 0.250
```

Computed properties:
Final energy   -25.6 eV/f.u.
Theoretical density   10.053 Mg/m³
E_form   0.37 eV/atom
Total magnetic moment   0.0 μB per formula unit



(3)
This record from the Alexandria database describes crystalline SbMoSeN2 at its relaxed geometry. The functional is GGA-PBE.

```
data_SbMoSeN2
_chemical_formula_sum 'Sb1 Mo1 Se1 N2'
_space_group_name_H-M_alt 'P 4/m m m'
_space_group_IT_number 123
_space_group_name_Hall '-P 4 2'
_cell_length_a 4.011
_cell_length_b 4.011
_cell_length_c 5.222
_cell_angle_alpha 90.00
_cell_angle_beta 90.00
_cell_angle_gamma 90.00
loop_
_atom_site_label
_atom_site_type_symbol
_atom_site_fract_x
_atom_site_fract_y
_atom_site_fract_z
Sb1 Sb 0.000 0.000 0.000
Mo1 Mo 0.500 0.500 0.500
Se1 Se 0.500 0.500 0.000
N1 N 0.000 0.500 0.500
```

Computed properties:
Final energy   -32.4 eV/f.u.
Uncorrected formation energy   2.7 eV per formula unit
Energy above the most stable polymorph in this dataset   0 meV/atom
Theoretical density   6.417 Mg/m³
Total magnetic moment   0.0 μB per formula unit



(4)
This record from the Alexandria database describes crystalline ScTl at its relaxed geometry. The functional is GGA-PBE.

```
data_ScTl
_chemical_formula_sum 'Sc2 Tl2'
_space_group_name_H-M_alt 'P 63/m m c'
_space_group_IT_number 194
_space_group_name_Hall '-P 6c 2c'
_cell_length_a 3.4837
_cell_length_b 3.4837
_cell_length_c 9.4421
_cell_angle_alpha 90.00
_cell_angle_beta 90.00
_cell_angle_gamma 120.00
loop_
_atom_site_label
_atom_site_type_symbol
_atom_site_fract_x
_atom_site_fract_y
_atom_site_fract_z
Sc1 Sc 0.3333 0.6667 0.2500
Tl1 Tl 0.0000 0.0000 0.0000
```

Computed properties:
Final energy   -9.1 eV/f.u.
Theoretical density   8.344 Mg/m³
E_form   -0.18 eV/atom
Total magnetic moment   0.0 μB per formula unit



(5)
This record from the Alexandria database describes crystalline RbCdGaBi at its relaxed geometry. The functional is GGA-PBE.

```
data_RbCdGaBi
_chemical_formula_sum 'Rb2 Cd2 Ga2 Bi2'
_space_group_name_H-M_alt 'P 4/n m m'
_space_group_IT_number 129
_cell_length_a 4.951
_cell_length_b 4.951
_cell_length_c 12.150
_cell_angle_alpha 90.00
_cell_angle_beta 90.00
_cell_angle_gamma 90.00
loop_
_space_group_symop_operation_xyz
'x,y,z'
'-x,-y,-z'
'-y+1/2,x,z'
'y+1/2,-x,-z'
'-x+1/2,-y+1/2,z'
'x+1/2,y+1/2,-z'
'y,-x+1/2,z'
'-y,x+1/2,-z'
'x+1/2,-y,-z'
'-x+1/2,y,z'
'-y,-x,-z'
'y,x,z'
'-x,y+1/2,-z'
'x,-y+1/2,z'
'y+1/2,x+1/2,-z'
'-y+1/2,-x+1/2,z'
loop_
_atom_site_label
_atom_site_type_symbol
_atom_site_fract_x
_atom_site_fract_y
_atom_site_fract_z
Rb1 Rb 0.250 0.250 0.248
Cd1 Cd 0.250 0.750 0.000
Ga1 Ga 0.250 0.750 0.500
Bi1 Bi 0.250 0.250 0.630
```

Computed properties:
Final energy   -9.2 eV/f.u.
Theoretical density   5.315 Mg/m³
E_form   -0.10 eV/atom
Total magnetic moment   0.0 μB per formula unit



(6)
This record from the Alexandria database describes crystalline SrLiZr2 at its relaxed geometry. The functional is GGA-PBE.

```
data_SrLiZr2
_chemical_formula_sum 'Sr1 Li1 Zr2'
_space_group_name_H-M_alt 'P m m m'
_space_group_IT_number 47
_space_group_name_Hall '-P 2 2'
_cell_length_a 3.309
_cell_length_b 5.242
_cell_length_c 6.106
_cell_angle_alpha 90.00
_cell_angle_beta 90.00
_cell_angle_gamma 90.00
loop_
_atom_site_label
_atom_site_type_symbol
_atom_site_fract_x
_atom_site_fract_y
_atom_site_fract_z
Sr1 Sr 0.000 0.000 0.000
Li1 Li 0.500 0.500 0.000
Zr1 Zr 0.000 0.500 0.500
Zr2 Zr 0.500 0.000 0.500
```

Computed properties:
Final energy   -18.9 eV/f.u.
Energy above the most stable polymorph in this dataset   181 meV/atom
Theoretical density   4.343 Mg/m³
E_form   0.44 eV/atom
Total magnetic moment   0.0 μB per formula unit



(7)
This record from the Alexandria database describes crystalline Tm2LuAg at its relaxed geometry. The functional is GGA-PBE.

```
data_Tm2LuAg
_chemical_formula_sum 'Tm2 Lu1 Ag1'
_space_group_name_H-M_alt 'P 4/m m m'
_space_group_IT_number 123
_space_group_name_Hall '-P 4 2'
_cell_length_a 5.220
_cell_length_b 5.220
_cell_length_c 3.840
_cell_angle_alpha 90.00
_cell_angle_beta 90.00
_cell_angle_gamma 90.00
loop_
_atom_site_label
_atom_site_type_symbol
_atom_site_fract_x
_atom_site_fract_y
_atom_site_fract_z
Tm1 Tm 0.000 0.500 0.000
Lu1 Lu 0.000 0.000 0.500
Ag1 Ag 0.500 0.500 0.500
```

Computed properties:
Final energy   -16.3 eV/f.u.
Energy above the most stable polymorph in this dataset   128 meV/atom
Theoretical density   9.850 Mg/m³
E_form   0.00 eV/atom
Total magnetic moment   0.0 μB per formula unit



(8)
This record from the Alexandria database describes crystalline AlCrNi at its relaxed geometry. The functional is GGA-PBE.

```
data_AlCrNi
_chemical_formula_sum 'Al2 Cr2 Ni2'
_space_group_name_H-M_alt 'I 4 m m'
_space_group_IT_number 107
_space_group_name_Hall 'I 4 -2'
_cell_length_a 2.626
_cell_length_b 2.626
_cell_length_c 10.574
_cell_angle_alpha 90.00
_cell_angle_beta 90.00
_cell_angle_gamma 90.00
loop_
_atom_site_label
_atom_site_type_symbol
_atom_site_fract_x
_atom_site_fract_y
_atom_site_fract_z
Al1 Al 0.000 0.000 0.000
Cr1 Cr 0.000 0.000 0.679
Ni1 Ni 0.000 0.000 0.337
```

Computed properties:
Final energy   -19.7 eV/f.u.
Theoretical density   6.272 Mg/m³
E_form   -0.18 eV/atom
Total magnetic moment   0.6 μB per formula unit



(9)
This record from the Alexandria database describes crystalline Pr5HoEr5 at its relaxed geometry. The functional is GGA-PBE.

```
data_Pr5HoEr5
_chemical_formula_sum 'Pr10 Ho2 Er10'
_space_group_name_H-M_alt 'C 1 2/m 1'
_space_group_IT_number 12
_space_group_name_Hall '-C 2y'
_cell_length_a 18.987
_cell_length_b 5.997
_cell_length_c 7.071
_cell_angle_alpha 90.00
_cell_angle_beta 111.66
_cell_angle_gamma 90.00
loop_
_atom_site_label
_atom_site_type_symbol
_atom_site_fract_x
_atom_site_fract_y
_atom_site_fract_z
Pr1 Pr 0.000 0.000 0.000
Pr2 Pr 0.176 0.500 0.420
Pr3 Pr 0.176 0.500 0.932
Ho1 Ho 0.000 0.500 0.000
Er1 Er 0.000 0.500 0.500
Er2 Er 0.121 0.000 0.623
Er3 Er 0.169 0.000 0.170
```

Computed properties:
Final energy   -48.4 eV/f.u.
Theoretical density   7.571 Mg/m³
E_form   0.26 eV/atom
Total magnetic moment   0.4 μB per formula unit



(10)
This record from the Alexandria database describes crystalline GaPtRh4 at its relaxed geometry. The functional is GGA-PBE.

```
data_GaPtRh4
_chemical_formula_sum 'Ga2 Pt2 Rh8'
_space_group_name_H-M_alt 'C m m m'
_space_group_IT_number 65
_space_group_name_Hall '-C 2 2'
_cell_length_a 3.866
_cell_length_b 11.525
_cell_length_c 3.894
_cell_angle_alpha 90.00
_cell_angle_beta 90.00
_cell_angle_gamma 90.00
loop_
_atom_site_label
_atom_site_type_symbol
_atom_site_fract_x
_atom_site_fract_y
_atom_site_fract_z
Ga1 Ga 0.000 0.000 0.000
Pt1 Pt 0.000 0.500 0.500
Rh1 Rh 0.000 0.170 0.500
Rh2 Rh 0.000 0.334 0.000
```

Computed properties:
Final energy   -39.8 eV/f.u.
Theoretical density   12.948 Mg/m³
E_form   -0.22 eV/atom
Total magnetic moment   0.0 μB per formula unit